DyHf2Th | Alexandria via LeMat-Bulk | PBE | relaxed; excess energy over the best structure of this formula in the dataset = 26 meV per atom
1.0
3.9330 0.0000 0.0000
0.0000 3.9330 0.0000
0.0000 0.0000 6.9510
Hf Th Dy
2 1 1
Direct
0.0000 0.0000 0.7216
0.0000 0.0000 0.2784
0.5000 0.5000 0.5000
0.5000 0.5000 0.0000


Na2Be2B | Alexandria via LeMat-Bulk | PBE | relaxed; excess energy over the best structure of this formula in the dataset = 371 meV per atom
1.0
8.8376 0.0000 0.0000
0.0000 8.8376 0.0000
0.0000 0.0000 2.0309
Na B Be
4 2 4
Direct
0.2898 0.7898 0.0000
0.7898 0.7102 0.0000
0.7102 0.2102 0.0000
0.2102 0.2898 0.0000
0.0000 0.0000 0.0000
0.5000 0.5000 0.0000
0.0807 0.5807 0.5000
0.5807 0.9193 0.5000
0.9193 0.4193 0.5000
0.4193 0.0807 0.5000


Below is a geometry-optimized ZrCoAu structure, with properties calculated at the PBE level.

Geometry as POSCAR:
```
ZrCoAu
1.0
3.4783 0.0000 0.0000
0.0000 16.2746 0.0000
0.0000 0.0000 3.5813
Co Au Zr
4 4 4
Direct
0.0000 0.0423 0.2500
0.0000 0.9577 0.7500
0.5000 0.5423 0.2500
0.5000 0.4577 0.7500
0.0000 0.2042 0.2500
0.0000 0.7958 0.7500
0.5000 0.7042 0.2500
0.5000 0.2958 0.7500
0.0000 0.3987 0.2500
0.0000 0.6013 0.7500
0.5000 0.8987 0.2500
0.5000 0.1013 0.7500
```


no.,calculated formation energy (eV/atom),total DFT energy (no corrections) (eV per cell)
1,0.190,-31.17
2,1.297,-20.57
3,-0.418,-80.74